Compound: Fe3PO7
Source: Alexandria via LeMat-Bulk
Functional: PBEsol
Structure: relaxed

a = 8.0440 Å, b = 8.0440 Å, c = 6.9153 Å
α = 90.00°, β = 90.00°, γ = 120.00°
With the nearest neighbours (Å) after each atom.
Space group R3m (No. 160, hexagonal axes)
One atom of each set of equivalent atoms:
Fe 0.2028 0.4055 0.0000 [9 per cell]  4 O 1.90-1.93
P 0.0000 0.0000 0.7425 [3 per cell]  4 O 1.53-1.57
O 0.0000 0.0000 0.5149 [3 per cell]  1 P 1.57
O 0.0789 0.5395 0.8974 [9 per cell]  3 Fe 1.91-1.93
O 0.1050 0.2100 0.8094 [9 per cell]  1 P 1.53

The calculated volume is 11.74 Å³/atom. As for the total magnetic moment: 45.1 μB/cell. The energy is -7.738 eV/atom. As for the formation energy (no corrections): -15.690 eV/f.u.